1.
The following is a DFT calculation (PBE) of a relaxed structure of Ce3Ag2Hg7.

abc: 4.892 4.139 15.595
angles: 90.00 98.86 90.00
Space group P2/m (No. 10)
Inequivalent atoms, fractional coordinates:
Ce  0.000  0.000  0.000 [1 per cell]
Ce  0.319  0.500  0.640 [2 per cell]
Ag  0.141  0.000  0.279 [2 per cell]
Hg  0.077  0.500  0.154 [2 per cell]
Hg  0.228  0.000  0.454 [2 per cell]
Hg  0.414  0.000  0.831 [2 per cell]
Hg  0.500  0.500  0.000 [1 per cell]

Results
Final energy, eV/atom: -2.2932
Calculated volume, Å³ per cell: 312.0
ΔE_f, eV/atom: -0.159

***

2.
The following is a DFT calculation (PBE) of a relaxed structure of CeAgHg2.

abc: 3.550 3.550 7.524
angles: 90.00 90.00 90.00
Space group P4/mmm (No. 123)
Inequivalent atoms, fractional coordinates:
Ce  0.000  0.000  0.000 [1 per cell]
Ag  0.000  0.000  0.500 [1 per cell]
Hg  0.500  0.500  0.280 [2 per cell]

Results
Final energy, eV/atom: -2.5172
Calculated volume, Å³ per cell: 94.8
ΔE_f, eV/atom: -0.170

***

3.
The following is a DFT calculation (PBE) of a relaxed structure of Ce2AgHg.

abc: 4.601 4.601 4.667
angles: 90.00 90.00 90.00
Space group P4/mmm (No. 123)
Inequivalent atoms, fractional coordinates:
Ce  0.000  0.500  0.000 [2 per cell]
Ag  0.000  0.000  0.500 [1 per cell]
Hg  0.500  0.500  0.500 [1 per cell]

Results
Final energy, eV/atom: -3.9376
Calculated volume, Å³ per cell: 98.8
ΔE_f, eV/atom: -0.182

***

4.
The following is a DFT calculation (PBE) of a relaxed structure of Ce2AgHg3.

abc: 6.675 10.117 17.504
angles: 90.00 90.00 90.00
Space group Fmmm (No. 69)
Inequivalent atoms, fractional coordinates:
Ce  0.250  0.000  0.000 [8 per cell]
Ce  0.250  0.250  0.250 [8 per cell]
Ag  0.000  0.000  0.167 [8 per cell]
Hg  0.000  0.000  0.331 [8 per cell]
Hg  0.000  0.246  0.085 [16 per cell]

Results
Final energy, eV/atom: -2.9368
Calculated volume, Å³ per cell: 1182.1
ΔE_f, eV/atom: -0.333

***

5.
The following is a DFT calculation (PBE) of a relaxed structure of Ce2Ag3Hg.

abc: 6.456 9.939 17.242
angles: 90.00 90.00 90.00
Space group Fmmm (No. 69)
Inequivalent atoms, fractional coordinates:
Ce  0.248  0.000  0.000 [8 per cell]
Ce  0.250  0.250  0.250 [8 per cell]
Ag  0.000  0.000  0.165 [8 per cell]
Ag  0.000  0.248  0.082 [16 per cell]
Hg  0.000  0.000  0.334 [8 per cell]

Results
Final energy, eV/atom: -3.6800
Calculated volume, Å³ per cell: 1106.4
ΔE_f, eV/atom: -0.226
Energy above the most stable polymorph in this dataset, meV/atom: 0

***

6.
The following is a DFT calculation (PBE) of a relaxed structure of Ce2Ag3Hg2.

abc: 4.009 20.556 8.456
angles: 90.00 90.00 90.00
Space group Cmcm (No. 63)
Inequivalent atoms, fractional coordinates:
Ce  0.000  0.063  0.250 [4 per cell]
Ce  0.000  0.152  0.750 [4 per cell]
Ag  0.000  0.232  0.250 [4 per cell]
Ag  0.000  0.446  0.086 [8 per cell]
Hg  0.000  0.318  0.547 [8 per cell]

Results
Final energy, eV/atom: -3.1351
Calculated volume, Å³ per cell: 696.9
ΔE_f, eV/atom: -0.132
Energy above the most stable polymorph in this dataset, meV/atom: 0

***

7.
The following is a DFT calculation (PBE) of a relaxed structure of CeAg2Hg.

abc: 3.564 3.564 7.278
angles: 90.00 90.00 90.00
Space group P4/mmm (No. 123)
Inequivalent atoms, fractional coordinates:
Ce  0.000  0.000  0.000 [1 per cell]
Ag  0.500  0.500  0.279 [2 per cell]
Hg  0.000  0.000  0.500 [1 per cell]

Results
Final energy, eV/atom: -3.0189
Calculated volume, Å³ per cell: 92.4
ΔE_f, eV/atom: -0.034

***

8.
The following is a DFT calculation (PBE) of a relaxed structure of Ce8AgHg2.

abc: 5.973 6.569 7.531
angles: 84.24 82.99 80.80
Space group P-1 (No. 2)
Inequivalent atoms, fractional coordinates:
Ce  0.008  0.246  0.034 [2 per cell]
Ce  0.146  0.365  0.349 [2 per cell]
Ce  0.339  0.402  0.658 [2 per cell]
Ce  0.352  0.935  0.739 [2 per cell]
Ag  0.500  0.500  0.000 [1 per cell]
Hg  0.168  0.864  0.339 [2 per cell]

Results
Final energy, eV/atom: -4.6509
Calculated volume, Å³ per cell: 288.5
ΔE_f, eV/atom: -0.021

***

9.
The following is a DFT calculation (PBE) of a relaxed structure of Ce3AgHg3.

abc: 6.770 6.775 8.196
angles: 89.34 89.34 88.71
Space group P-1 (No. 2)
Inequivalent atoms, fractional coordinates:
Ce  0.033  0.033  0.263 [2 per cell]
Ce  0.045  0.439  0.255 [2 per cell]
Ce  0.440  0.047  0.255 [2 per cell]
Ag  0.266  0.266  0.572 [2 per cell]
Hg  0.267  0.267  0.932 [2 per cell]
Hg  0.270  0.730  0.001 [2 per cell]
Hg  0.297  0.703  0.499 [2 per cell]

Results
Final energy, eV/atom: -3.2313
Calculated volume, Å³ per cell: 375.8
ΔE_f, eV/atom: -0.152

***

10.
The following is a DFT calculation (PBE) of a relaxed structure of Ce2AgHg.

abc: 7.546 7.546 7.546
angles: 90.00 90.00 90.00
Space group Fm-3m (No. 225)
Inequivalent atoms, fractional coordinates:
Ce  0.250  0.250  0.250 [8 per cell]
Ag  0.000  0.000  0.000 [4 per cell]
Hg  0.000  0.000  0.500 [4 per cell]

Results
Final energy, eV/atom: -3.9140
Calculated volume, Å³ per cell: 429.8
ΔE_f, eV/atom: -0.159

***

11.
The following is a DFT calculation (PBE) of a relaxed structure of Ce2Ag2Hg.

abc: 10.728 4.849 9.552
angles: 90.00 103.06 90.00
Space group C2/m (No. 12)
Inequivalent atoms, fractional coordinates:
Ce  0.067  0.000  0.379 [4 per cell]
Ce  0.178  0.000  0.057 [4 per cell]
Ag  0.016  0.500  0.859 [4 per cell]
Ag  0.123  0.500  0.600 [4 per cell]
Hg  0.248  0.000  0.715 [4 per cell]

Results
Final energy, eV/atom: -3.7329
Calculated volume, Å³ per cell: 484.0
ΔE_f, eV/atom: -0.158

***

12.
The following is a DFT calculation (PBE) of a relaxed structure of Ce3Ag2Hg6.

abc: 4.276 4.276 32.564
angles: 90.00 90.00 90.00
Space group I4/mmm (No. 139)
Inequivalent atoms, fractional coordinates:
Ce  0.000  0.000  0.000 [2 per cell]
Ce  0.000  0.000  0.175 [4 per cell]
Ag  0.000  0.000  0.361 [4 per cell]
Hg  0.000  0.000  0.273 [4 per cell]
Hg  0.000  0.500  0.076 [8 per cell]

Results
Final energy, eV/atom: -2.4010
Calculated volume, Å³ per cell: 595.4
ΔE_f, eV/atom: -0.100

***

13.
The following is a DFT calculation (PBE) of a relaxed structure of Ce3Ag4Hg2.

abc: 10.801 4.983 9.225
angles: 90.00 122.58 90.00
Space group C2/m (No. 12)
Inequivalent atoms, fractional coordinates:
Ce  0.000  0.000  0.000 [2 per cell]
Ce  0.166  0.500  0.668 [4 per cell]
Ag  0.052  0.000  0.388 [4 per cell]
Ag  0.226  0.500  0.056 [4 per cell]
Hg  0.112  0.500  0.278 [4 per cell]

Results
Final energy, eV/atom: -3.5612
Calculated volume, Å³ per cell: 418.4
ΔE_f, eV/atom: -0.249

***

14.
The following is a DFT calculation (PBE) of a relaxed structure of CeAg2Hg.

abc: 7.163 7.163 7.163
angles: 90.00 90.00 90.00
Space group F-43m (No. 216)
Inequivalent atoms, fractional coordinates:
Ce  0.000  0.000  0.000 [4 per cell]
Ag  0.000  0.000  0.500 [4 per cell]
Ag  0.250  0.250  0.250 [4 per cell]
Hg  0.250  0.250  0.750 [4 per cell]

Results
Final energy, eV/atom: -3.1441
Calculated volume, Å³ per cell: 367.5
ΔE_f, eV/atom: -0.160

***

15.
The following is a DFT calculation (PBE) of a relaxed structure of Ce2Ag3Hg4.

abc: 6.314 16.176 8.549
angles: 90.00 90.00 90.00
Space group Cmce (No. 64)
Inequivalent atoms, fractional coordinates:
Ce  0.000  0.122  0.074 [8 per cell]
Ag  0.000  0.000  0.500 [4 per cell]
Ag  0.250  0.220  0.750 [8 per cell]
Hg  0.000  0.179  0.465 [8 per cell]
Hg  0.250  0.042  0.750 [8 per cell]

Results
Final energy, eV/atom: -2.5557
Calculated volume, Å³ per cell: 873.1
ΔE_f, eV/atom: -0.153
Energy above the most stable polymorph in this dataset, meV/atom: 56

***

16.
The following is a DFT calculation (PBE) of a relaxed structure of Ce3Ag2Hg3.

abc: 4.993 10.652 14.903
angles: 90.00 90.00 90.00
Space group Cmcm (No. 63)
Inequivalent atoms, fractional coordinates:
Ce  0.000  0.088  0.110 [8 per cell]
Ce  0.000  0.268  0.250 [4 per cell]
Ag  0.000  0.220  0.608 [8 per cell]
Hg  0.000  0.390  0.055 [8 per cell]
Hg  0.000  0.427  0.750 [4 per cell]

Results
Final energy, eV/atom: -3.2911
Calculated volume, Å³ per cell: 792.6
ΔE_f, eV/atom: -0.240
Energy above the most stable polymorph in this dataset, meV/atom: 0

***

17.
The following is a DFT calculation (PBE) of a relaxed structure of CeAg2Hg4.

abc: 4.9950 4.9950 23.8060
angles: 90.00 90.00 120.00
Space group R-3m (No. 166, hexagonal axes)
Inequivalent atoms, fractional coordinates:
Ce  0.0000  0.0000  0.0000 [3 per cell]
Ag  0.0000  0.0000  0.2582 [6 per cell]
Hg  0.0000  0.0000  0.1350 [6 per cell]
Hg  0.0000  0.0000  0.3968 [6 per cell]

Results
Final energy, eV/atom: -1.9803
Calculated volume, Å³ per cell: 514.4
ΔE_f, eV/atom: -0.146

***

18.
The following is a DFT calculation (PBE) of a relaxed structure of CeAgHg2.

abc: 4.635 4.635 4.736
angles: 90.00 90.00 90.00
Space group P4/mmm (No. 123)
Inequivalent atoms, fractional coordinates:
Ce  0.000  0.000  0.000 [1 per cell]
Ag  0.500  0.500  0.000 [1 per cell]
Hg  0.000  0.500  0.500 [2 per cell]

Results
Final energy, eV/atom: -2.4670
Calculated volume, Å³ per cell: 101.7
ΔE_f, eV/atom: -0.120

***

19.
The following is a DFT calculation (PBE) of a relaxed structure of CeHoAgHg.

abc: 7.456 7.456 7.456
angles: 90.00 90.00 90.00
Space group F-43m (No. 216)
Inequivalent atoms, fractional coordinates:
Ce  0.000  0.000  0.000 [4 per cell]
Ho  0.000  0.000  0.500 [4 per cell]
Ag  0.250  0.250  0.750 [4 per cell]
Hg  0.250  0.250  0.250 [4 per cell]

Results
Final energy, eV/atom: -3.6861
Calculated volume, Å³ per cell: 414.5
ΔE_f, eV/atom: -0.270

***

20.
The following is a DFT calculation (PBE) of a relaxed structure of Ce2HoAg2Hg2.

abc: 4.8686 4.8686 24.1726
angles: 90.00 90.00 120.00
Space group R-3m (No. 166, hexagonal axes)
Inequivalent atoms, fractional coordinates:
Ce  0.0000  0.0000  0.1414 [6 per cell]
Ho  0.0000  0.0000  0.0000 [3 per cell]
Ag  0.0000  0.0000  0.4134 [6 per cell]
Hg  0.0000  0.0000  0.2742 [6 per cell]

Results
Final energy, eV/atom: -3.4316
Calculated volume, Å³ per cell: 496.2
ΔE_f, eV/atom: -0.181